An optimized crystal structure of SbMoIrO2, computed with GGA+U.

The magnetic moment is 3.41 μB/cell. The final energy comes out at -29.002 eV/cell. As for the calculated density: 8.70 g/cm3.

The space group is P4/mmm (No. 123) and the conventional cell measures 3.958, 3.958 and 5.386 Å, with angles of 90.00, 90.00 and 90.00 degrees. The asymmetric unit holds Sb at (0.000, 0.000, 0.000), Mo at (0.500, 0.500, 0.500), Ir at (0.000, 0.000, 0.500) and O at (0.000, 0.500, 0.000).